No. 1
Compound: KHoZnS3
Source: OQMD via LeMat-Bulk
Functional: PBE
Structure: optimized geometry

CIF file:
```
data_KHoZnS3
_chemical_formula_sum 'K4 Ho4 Zn4 S12'
_symmetry_space_group_name_H-M 'C 1 2/m 1'
_symmetry_Int_Tables_number 12
_cell_length_a 17.1810
_cell_length_b 4.0147
_cell_length_c 8.4329
_cell_angle_alpha 90.00
_cell_angle_beta 103.01
_cell_angle_gamma 90.00
loop_
_symmetry_equiv_pos_as_xyz
'x,y,z'
'-x,-y,-z'
'-x,y,-z'
'x,-y,z'
'x+1/2,y+1/2,z'
'-x+1/2,-y+1/2,-z'
'-x+1/2,y+1/2,-z'
'x+1/2,-y+1/2,z'
loop_
_atom_site_label
_atom_site_type_symbol
_atom_site_fract_x
_atom_site_fract_y
_atom_site_fract_z
_atom_site_occupancy
K1 K 0.1434 0.0000 0.0723 1
Ho1 Ho 0.1691 0.0000 0.5784 1
Zn1 Zn 0.0207 0.5000 0.7342 1
S1 S 0.0000 0.0000 0.5000 1
S2 S 0.0000 0.5000 0.0000 1
S3 S 0.1609 0.5000 0.7901 1
S4 S 0.1695 0.5000 0.3640 1
```

Output
Electronic total energy   -4.567 eV/atom



No. 2
Compound: KHoSb
Source: OQMD via LeMat-Bulk
Functional: PBE
Structure: optimized geometry

CIF file:
```
data_KHoSb
_chemical_formula_sum 'K4 Ho4 Sb4'
_symmetry_space_group_name_H-M 'F -4 3 m'
_symmetry_Int_Tables_number 216
_symmetry_space_group_name_Hall 'F -4 2 3'
_cell_length_a 7.4943
_cell_length_b 7.4943
_cell_length_c 7.4943
_cell_angle_alpha 90.00
_cell_angle_beta 90.00
_cell_angle_gamma 90.00
loop_
_atom_site_label
_atom_site_type_symbol
_atom_site_fract_x
_atom_site_fract_y
_atom_site_fract_z
_atom_site_occupancy
K1 K 0.0000 0.0000 0.0000 1
Ho1 Ho 0.2500 0.2500 0.2500 1
Sb1 Sb 0.0000 0.0000 0.5000 1
```

Output
Electronic total energy   -3.260 eV/atom



No. 3
Compound: K2SrHoSb2
Source: OQMD via LeMat-Bulk
Functional: PBE
Structure: optimized geometry

CIF file:
```
data_K2SrHoSb2
_chemical_formula_sum 'K4 Sr2 Ho2 Sb4'
_symmetry_space_group_name_H-M 'P m c 21'
_symmetry_Int_Tables_number 26
_cell_length_a 5.0874
_cell_length_b 10.3394
_cell_length_c 8.5003
_cell_angle_alpha 90.00
_cell_angle_beta 90.00
_cell_angle_gamma 90.00
loop_
_symmetry_equiv_pos_as_xyz
'x,y,z'
'-x,-y,z+1/2'
'-x,y,z'
'x,-y,z+1/2'
loop_
_atom_site_label
_atom_site_type_symbol
_atom_site_fract_x
_atom_site_fract_y
_atom_site_fract_z
_atom_site_occupancy
K1 K 0.0000 0.0854 0.0000 1
K2 K 0.5000 0.1624 0.3114 1
Sr1 Sr 0.5000 0.4396 0.9667 1
Ho1 Ho 0.0000 0.3206 0.6188 1
Sb1 Sb 0.0000 0.4042 0.2648 1
Sb2 Sb 0.5000 0.1788 0.7210 1
```

Output
Electronic total energy   -3.440 eV/atom



No. 4
Compound: KHo5Se8
Source: OQMD via LeMat-Bulk
Functional: PBE
Structure: optimized geometry

CIF file:
```
data_KHo5Se8
_chemical_formula_sum 'K2 Ho10 Se16'
_symmetry_space_group_name_H-M 'C 1 2/m 1'
_symmetry_Int_Tables_number 12
_cell_length_a 21.2508
_cell_length_b 4.1247
_cell_length_c 9.9488
_cell_angle_alpha 90.00
_cell_angle_beta 104.42
_cell_angle_gamma 90.00
loop_
_symmetry_equiv_pos_as_xyz
'x,y,z'
'-x,-y,-z'
'-x,y,-z'
'x,-y,z'
'x+1/2,y+1/2,z'
'-x+1/2,-y+1/2,-z'
'-x+1/2,y+1/2,-z'
'x+1/2,-y+1/2,z'
loop_
_atom_site_label
_atom_site_type_symbol
_atom_site_fract_x
_atom_site_fract_y
_atom_site_fract_z
_atom_site_occupancy
K1 K 0.0000 0.0000 0.0000 1
Ho1 Ho 0.0000 0.5000 0.5000 1
Ho2 Ho 0.1547 0.0000 0.4489 1
Ho3 Ho 0.2026 0.0000 0.8419 1
Se1 Se 0.0782 0.0000 0.6491 1
Se2 Se 0.0790 0.5000 0.3020 1
Se3 Se 0.1685 0.5000 0.9980 1
Se4 Se 0.2289 0.5000 0.6446 1
```

Output
Electronic total energy   -5.530 eV/atom



No. 5
Compound: KHoZnSe3
Source: OQMD via LeMat-Bulk
Functional: PBE
Structure: optimized geometry

CIF file:
```
data_KHoZnSe3
_chemical_formula_sum 'K4 Ho4 Zn4 Se12'
_symmetry_space_group_name_H-M 'C 1 2/m 1'
_symmetry_Int_Tables_number 12
_cell_length_a 18.3811
_cell_length_b 4.1729
_cell_length_c 8.7272
_cell_angle_alpha 90.00
_cell_angle_beta 102.22
_cell_angle_gamma 90.00
loop_
_symmetry_equiv_pos_as_xyz
'x,y,z'
'-x,-y,-z'
'-x,y,-z'
'x,-y,z'
'x+1/2,y+1/2,z'
'-x+1/2,-y+1/2,-z'
'-x+1/2,y+1/2,-z'
'x+1/2,-y+1/2,z'
loop_
_atom_site_label
_atom_site_type_symbol
_atom_site_fract_x
_atom_site_fract_y
_atom_site_fract_z
_atom_site_occupancy
K1 K 0.1405 0.0000 0.0681 1
Ho1 Ho 0.1700 0.0000 0.5716 1
Zn1 Zn 0.0280 0.5000 0.7327 1
Se1 Se 0.0000 0.0000 0.5000 1
Se2 Se 0.0000 0.5000 0.0000 1
Se3 Se 0.1642 0.5000 0.7909 1
Se4 Se 0.1733 0.5000 0.3564 1
```

Output
Electronic total energy   -4.140 eV/atom



No. 6
Compound: KHoZnSe3
Source: OQMD via LeMat-Bulk
Functional: PBE
Structure: optimized geometry

CIF file:
```
data_KHoZnSe3
_chemical_formula_sum 'K2 Ho2 Zn2 Se6'
_symmetry_space_group_name_H-M 'P 1 21/m 1'
_symmetry_Int_Tables_number 11
_cell_length_a 8.6845
_cell_length_b 4.1199
_cell_length_c 10.2814
_cell_angle_alpha 90.00
_cell_angle_beta 108.89
_cell_angle_gamma 90.00
loop_
_symmetry_equiv_pos_as_xyz
'x,y,z'
'-x,-y,-z'
'-x,y+1/2,-z'
'x,-y+1/2,z'
loop_
_atom_site_label
_atom_site_type_symbol
_atom_site_fract_x
_atom_site_fract_y
_atom_site_fract_z
_atom_site_occupancy
K1 K 0.2406 0.2500 0.2697 1
Ho1 Ho 0.3196 0.7500 0.8630 1
Zn1 Zn 0.0810 0.2500 0.6080 1
Se1 Se 0.0845 0.2500 0.8458 1
Se2 Se 0.2177 0.7500 0.5505 1
Se3 Se 0.4582 0.7500 0.1502 1
```

Output
Electronic total energy   -4.281 eV/atom



No. 7
Compound: KHoSiTe3
Source: OQMD via LeMat-Bulk
Functional: PBE
Structure: optimized geometry

CIF file:
```
data_KHoSiTe3
_chemical_formula_sum 'K4 Ho4 Si4 Te12'
_symmetry_space_group_name_H-M 'C m c m'
_symmetry_Int_Tables_number 63
_symmetry_space_group_name_Hall '-C 2c 2'
_cell_length_a 4.7333
_cell_length_b 15.1085
_cell_length_c 11.9082
_cell_angle_alpha 90.00
_cell_angle_beta 90.00
_cell_angle_gamma 90.00
loop_
_atom_site_label
_atom_site_type_symbol
_atom_site_fract_x
_atom_site_fract_y
_atom_site_fract_z
_atom_site_occupancy
K1 K 0.0000 0.2482 0.2500 1
Ho1 Ho 0.0000 0.0000 0.0000 1
Si1 Si 0.0000 0.4668 0.7500 1
Te1 Te 0.0000 0.0604 0.7500 1
Te2 Te 0.0000 0.3700 0.5527 1
```

Output
Electronic total energy   -4.139 eV/atom



No. 8
Compound: KSmHo
Source: OQMD via LeMat-Bulk
Functional: PBE
Structure: optimized geometry

CIF file:
```
data_KSmHo
_chemical_formula_sum 'K4 Sm4 Ho4'
_symmetry_space_group_name_H-M 'F -4 3 m'
_symmetry_Int_Tables_number 216
_symmetry_space_group_name_Hall 'F -4 2 3'
_cell_length_a 8.3283
_cell_length_b 8.3283
_cell_length_c 8.3283
_cell_angle_alpha 90.00
_cell_angle_beta 90.00
_cell_angle_gamma 90.00
loop_
_atom_site_label
_atom_site_type_symbol
_atom_site_fract_x
_atom_site_fract_y
_atom_site_fract_z
_atom_site_occupancy
K1 K 0.0000 0.0000 0.0000 1
Sm1 Sm 0.0000 0.0000 0.5000 1
Ho1 Ho 0.2500 0.2500 0.2500 1
```

Output
Polymorph energy (0 for the lowest one)   0.0 kJ/mol of atoms



No. 9
Compound: KSrHoTe3
Source: OQMD via LeMat-Bulk
Functional: PBE
Structure: optimized geometry

CIF file:
```
data_KSrHoTe3
_chemical_formula_sum 'K4 Sr4 Ho4 Te12'
_symmetry_space_group_name_H-M 'C 1 2/m 1'
_symmetry_Int_Tables_number 12
_cell_length_a 19.5855
_cell_length_b 4.5445
_cell_length_c 10.8655
_cell_angle_alpha 90.00
_cell_angle_beta 104.37
_cell_angle_gamma 90.00
loop_
_symmetry_equiv_pos_as_xyz
'x,y,z'
'-x,-y,-z'
'-x,y,-z'
'x,-y,z'
'x+1/2,y+1/2,z'
'-x+1/2,-y+1/2,-z'
'-x+1/2,y+1/2,-z'
'x+1/2,-y+1/2,z'
loop_
_atom_site_label
_atom_site_type_symbol
_atom_site_fract_x
_atom_site_fract_y
_atom_site_fract_z
_atom_site_occupancy
K1 K 0.1440 0.0000 0.0684 1
Sr1 Sr 0.0042 0.5000 0.7164 1
Ho1 Ho 0.1735 0.0000 0.5822 1
Te1 Te 0.0000 0.0000 0.5000 1
Te2 Te 0.0000 0.5000 0.0000 1
Te3 Te 0.1680 0.5000 0.3789 1
Te4 Te 0.1747 0.5000 0.7732 1
```

Output
Electronic total energy   -4.191 eV/atom



No. 10
Compound: KTbHo
Source: OQMD via LeMat-Bulk
Functional: PBE
Structure: optimized geometry

CIF file:
```
data_KTbHo
_chemical_formula_sum 'K4 Tb4 Ho4'
_symmetry_space_group_name_H-M 'F -4 3 m'
_symmetry_Int_Tables_number 216
_symmetry_space_group_name_Hall 'F -4 2 3'
_cell_length_a 8.3030
_cell_length_b 8.3030
_cell_length_c 8.3030
_cell_angle_alpha 90.00
_cell_angle_beta 90.00
_cell_angle_gamma 90.00
loop_
_atom_site_label
_atom_site_type_symbol
_atom_site_fract_x
_atom_site_fract_y
_atom_site_fract_z
_atom_site_occupancy
K1 K 0.0000 0.0000 0.0000 1
Tb1 Tb 0.0000 0.0000 0.5000 1
Ho1 Ho 0.2500 0.2500 0.2500 1
```

Output
Polymorph energy (0 for the lowest one)   0.0 kJ/mol of atoms



No. 11
Compound: KTbHoTe3
Source: OQMD via LeMat-Bulk
Functional: PBE
Structure: optimized geometry

CIF file:
```
data_KTbHoTe3
_chemical_formula_sum 'K4 Tb4 Ho4 Te12'
_symmetry_space_group_name_H-M 'C m c m'
_symmetry_Int_Tables_number 63
_symmetry_space_group_name_Hall '-C 2c 2'
_cell_length_a 4.6777
_cell_length_b 16.3217
_cell_length_c 11.8658
_cell_angle_alpha 90.00
_cell_angle_beta 90.00
_cell_angle_gamma 90.00
loop_
_atom_site_label
_atom_site_type_symbol
_atom_site_fract_x
_atom_site_fract_y
_atom_site_fract_z
_atom_site_occupancy
K1 K 0.0000 0.2456 0.2500 1
Tb1 Tb 0.0000 0.5000 0.0000 1
Ho1 Ho 0.0000 0.0346 0.7500 1
Te1 Te 0.0000 0.1303 0.5447 1
Te2 Te 0.0000 0.4260 0.7500 1
```

Output
Polymorph energy (0 for the lowest one)   8.4 kJ/mol of atoms



No. 12
Compound: KTbHoTe3
Source: OQMD via LeMat-Bulk
Functional: PBE
Structure: optimized geometry

CIF file:
```
data_KTbHoTe3
_chemical_formula_sum 'K4 Tb4 Ho4 Te12'
_symmetry_space_group_name_H-M 'C m c m'
_symmetry_Int_Tables_number 63
_symmetry_space_group_name_Hall '-C 2c 2'
_cell_length_a 4.6952
_cell_length_b 16.3130
_cell_length_c 11.7907
_cell_angle_alpha 90.00
_cell_angle_beta 90.00
_cell_angle_gamma 90.00
loop_
_atom_site_label
_atom_site_type_symbol
_atom_site_fract_x
_atom_site_fract_y
_atom_site_fract_z
_atom_site_occupancy
K1 K 0.0000 0.2457 0.2500 1
Tb1 Tb 0.0000 0.0333 0.7500 1
Ho1 Ho 0.0000 0.5000 0.0000 1
Te1 Te 0.0000 0.1287 0.5404 1
Te2 Te 0.0000 0.4244 0.7500 1
```

Output
Polymorph energy (0 for the lowest one)   10.0 kJ/mol of atoms



Across the entries above, size of the total moment takes the values 0.00, 0.04, 0.98, 0.00, 0.00, 0.01, 0.00, 1.05, 0.00, 0.72, 0.10, 0.11 μB per formula unit, respectively.